Entry 1:
The following is a DFT calculation (PBE-GGA) of a geometry-optimized MgGeAs3 structure.

Cell lengths 4.9613, 4.9613, 4.9613 Å; angles 90.00, 90.00, 90.00 degrees
Closest atoms and distances in Å follow each position.
Fractional coordinates of all 5 atoms:
As 0.5000 0.0000 0.0000  2 Mg 2.48
Ge 0.5000 0.5000 0.5000  12 As 3.51
As 0.0000 0.0000 0.5000  2 Mg 2.48
Mg 0.0000 0.0000 0.0000  6 As 2.48
As 0.0000 0.5000 0.0000  2 Mg 2.48

Calculated formation energy (meV/atom): 744
Fermi-level density of states (states/eV per cell): 3.81
Relative energy among the computed polymorphs (eV per atom): 0.150
VASP energy (eV per atom): -3.2879
M_tot (μB/atom): 0.0000

Entry 2:
The following is a DFT calculation (PBE-GGA) of a geometry-optimized CsBF structure.

Cell lengths 3.3030, 4.8120, 9.1879 Å; angles 105.18, 100.36, 90.00 degrees
Closest atoms and distances in Å follow each position.
Fractional coordinates of all 6 atoms:
Cs 0.3395 0.8395 0.6790  5 F 2.92-2.95
F 0.1703 0.6703 0.3406  5 Cs 2.92-2.95, 2 B 3.08
F 0.8297 0.3297 0.6594  5 Cs 2.92-2.95, 2 B 3.08
B 0.7510 0.5000 0.0000  2 B 1.65-1.66
B 0.2490 0.5000 0.0000  2 B 1.65-1.66
Cs 0.6605 0.1605 0.3210  5 F 2.92-2.95

ΔE_f (raw) (eV/atom): -1.01
Fermi-level density of states (states/eV per cell): 1.88
VASP energy (eV per atom): -4.1398
M_tot (μB/atom): 0.0000

Entry 3:
The following is a DFT calculation (PBE-GGA) of a geometry-optimized Pm2Nd5Dy6 structure.

Cell lengths 3.6193, 11.7716, 20.6432 Å; angles 90.00, 90.00, 90.00 degrees
Closest atoms and distances in Å follow each position.
Fractional coordinates of all 26 atoms:
Nd 0.5000 0.5846 0.2763  5 Dy 3.36-3.51, 4 Pm 3.53-3.61, 2 Nd 3.62
Nd 0.5000 0.8000 0.0509  6 Dy 3.60-3.62, 3 Nd 3.62-3.68, 2 Pm 3.84
Dy 0.0000 0.4392 0.5787  6 Nd 3.51-3.62, 5 Dy 3.55-3.73, 1 Pm 3.93
Dy 0.0000 0.5780 0.1332  1 Pm 3.38, 6 Nd 3.42-3.60, 4 Dy 3.52-3.62
Nd 0.5000 0.0000 0.5000  6 Dy 3.42-3.45, 4 Nd 3.62-3.68
Dy 0.0000 0.0608 0.0787  6 Nd 3.51-3.62, 5 Dy 3.55-3.73, 1 Pm 3.93
Pm 0.0000 0.8273 0.2145  3 Dy 3.38-3.64, 4 Nd 3.53-3.61, 2 Pm 3.62
Dy 0.5000 0.8213 0.3673  2 Nd 3.36-3.45, 6 Dy 3.52-3.73, 2 Pm 3.64
Dy 0.0000 0.9392 0.9213  6 Nd 3.51-3.62, 5 Dy 3.55-3.73, 1 Pm 3.93
Nd 0.5000 0.7000 0.5509  6 Dy 3.60-3.62, 3 Nd 3.62-3.68, 2 Pm 3.84
Pm 0.0000 0.6727 0.7145  3 Dy 3.38-3.64, 4 Nd 3.53-3.61, 2 Pm 3.62
Nd 0.5000 0.5000 0.0000  6 Dy 3.42-3.45, 4 Nd 3.62-3.68
Dy 0.0000 0.4220 0.8668  1 Pm 3.38, 6 Nd 3.42-3.60, 4 Dy 3.52-3.62
Dy 0.5000 0.1787 0.6327  2 Nd 3.36-3.45, 6 Dy 3.52-3.73, 2 Pm 3.64
Dy 0.0000 0.0780 0.3668  1 Pm 3.38, 6 Nd 3.42-3.60, 4 Dy 3.52-3.62
Dy 0.5000 0.3213 0.1327  2 Nd 3.36-3.45, 6 Dy 3.52-3.73, 2 Pm 3.64
Dy 0.0000 0.9220 0.6332  1 Pm 3.38, 6 Nd 3.42-3.60, 4 Dy 3.52-3.62
Nd 0.5000 0.9154 0.7763  5 Dy 3.36-3.51, 4 Pm 3.53-3.61, 2 Nd 3.62
Pm 0.0000 0.3273 0.2855  3 Dy 3.38-3.64, 4 Nd 3.53-3.61, 2 Pm 3.62
Nd 0.5000 0.2000 0.9491  6 Dy 3.60-3.62, 3 Nd 3.62-3.68, 2 Pm 3.84
Dy 0.5000 0.6787 0.8673  2 Nd 3.36-3.45, 6 Dy 3.52-3.73, 2 Pm 3.64
Pm 0.0000 0.1727 0.7855  3 Dy 3.38-3.64, 4 Nd 3.53-3.61, 2 Pm 3.62
Nd 0.5000 0.4154 0.7237  5 Dy 3.36-3.51, 4 Pm 3.53-3.61, 2 Nd 3.62
Dy 0.0000 0.5608 0.4213  6 Nd 3.51-3.62, 5 Dy 3.55-3.73, 1 Pm 3.93
Nd 0.5000 0.0846 0.2237  5 Dy 3.36-3.51, 4 Pm 3.53-3.61, 2 Nd 3.62
Nd 0.5000 0.3000 0.4491  6 Dy 3.60-3.62, 3 Nd 3.62-3.68, 2 Pm 3.84

Calculated formation energy (meV/atom): 92
Fermi-level density of states (states/eV per cell): 31.93
VASP energy (eV per atom): -4.5963
M_tot (μB/atom): 0.0000

Entry 4:
The following is a DFT calculation (PBE-GGA) of a geometry-optimized NbAgH2 structure.

Cell lengths 3.9048, 3.9048, 3.9048 Å; angles 60.00, 60.00, 60.00 degrees
Closest atoms and distances in Å follow each position.
Fractional coordinates of all 4 atoms:
H 0.2500 0.2500 0.2500  4 Ag 2.39, 4 Nb 2.39
Nb 0.0000 0.0000 0.0000  8 H 2.39
Ag 0.5000 0.5000 0.5000  8 H 2.39
H 0.7500 0.7500 0.7500  4 Ag 2.39, 4 Nb 2.39

Fermi-level density of states (states/eV per cell): 1.79
Relative energy among the computed polymorphs (eV per atom): 0.335
VASP energy (eV per atom): -4.3693
M_tot (μB/atom): 0.0000

Entry 5:
The following is a DFT calculation (PBE-GGA) of a geometry-optimized AsIrRh3 structure.

Cell lengths 4.7162, 4.7162, 4.7162 Å; angles 90.00, 90.00, 90.00 degrees
Closest atoms and distances in Å follow each position.
Fractional coordinates of all 5 atoms:
As 0.5000 0.5000 0.5000  12 Rh 3.33
Rh 0.0000 0.0000 0.5000  2 Ir 2.36
Ir 0.0000 0.0000 0.0000  6 Rh 2.36
Rh 0.5000 0.0000 0.0000  2 Ir 2.36
Rh 0.0000 0.5000 0.0000  2 Ir 2.36

Calculated formation energy (meV/atom): 1364
Fermi-level density of states (states/eV per cell): 8.35
Relative energy among the computed polymorphs (eV per atom): 0.420
VASP energy (eV per atom): -5.7489
M_tot (μB/atom): 0.0000

Entry 6:
The following is a DFT calculation (PBE-GGA) of a geometry-optimized Sc2CrHg structure.

Cell lengths 9.2801, 9.2801, 9.2801 Å; angles 20.15, 20.15, 20.15 degrees
Closest atoms and distances in Å follow each position.
Fractional coordinates of all 4 atoms:
Cr 0.2500 0.2500 0.2500  6 Sc 2.81
Sc 0.9936 0.9936 0.9936  3 Cr 2.81, 3 Hg 3.08
Sc 0.5064 0.5064 0.5064  3 Cr 2.81, 3 Hg 3.08
Hg 0.7500 0.7500 0.7500  6 Sc 3.08, 6 Hg 3.25

Calculated formation energy (meV/atom): 143
Fermi-level density of states (states/eV per cell): 4.48
VASP energy (eV per atom): -5.5045
M_tot (μB/atom): 0.6487

Entry 7:
The following is a DFT calculation (PBE-GGA) of a geometry-optimized Tb6ErTl structure.

Cell lengths 4.9076, 4.9076, 10.0609 Å; angles 90.00, 90.00, 90.00 degrees
Closest atoms and distances in Å follow each position.
Fractional coordinates of all 8 atoms:
Tl 0.0000 0.0000 0.0000  12 Tb 3.47-3.49
Tb 0.0000 0.5000 0.2461  8 Tb 3.47-3.54, 2 Tl 3.49, 2 Er 3.54
Tb 0.5000 0.5000 0.0000  4 Tl 3.47, 8 Tb 3.49
Er 0.0000 0.0000 0.5000  12 Tb 3.47-3.54
Tb 0.5000 0.5000 0.5000  4 Er 3.47, 8 Tb 3.54
Tb 0.0000 0.5000 0.7539  8 Tb 3.47-3.54, 2 Tl 3.49, 2 Er 3.54
Tb 0.5000 0.0000 0.7539  8 Tb 3.47-3.54, 2 Tl 3.49, 2 Er 3.54
Tb 0.5000 0.0000 0.2461  8 Tb 3.47-3.54, 2 Tl 3.49, 2 Er 3.54

Calculated formation energy (meV/atom): -78
Fermi-level density of states (states/eV per cell): 9.23
Relative energy among the computed polymorphs (eV per atom): 0.000
VASP energy (eV per atom): -4.4170
M_tot (μB/atom): 0.0000

Entry 8:
The following is a DFT calculation (PBE-GGA) of a geometry-optimized Pm2Dy2Mg15 structure.

Cell lengths 7.9241, 7.9241, 7.9241 Å; angles 83.04, 83.04, 83.04 degrees
Closest atoms and distances in Å follow each position.
Fractional coordinates of all 19 atoms:
Mg 0.3051 0.6949 0.0000  8 Mg 3.02-3.26
Dy 0.6702 0.6702 0.6702  1 Pm 3.57, 15 Mg 3.66-3.93
Dy 0.3298 0.3298 0.3298  1 Pm 3.57, 15 Mg 3.66-3.93
Mg 0.0000 0.3051 0.6949  8 Mg 3.02-3.26
Pm 0.9038 0.9038 0.9038  1 Pm 2.94, 3 Mg 3.22
Mg 0.6949 0.3051 0.0000  8 Mg 3.02-3.26
Mg 0.0000 0.0000 0.5000  8 Mg 3.02-3.10, 2 Pm 3.22
Mg 0.3560 0.8395 0.3560  8 Mg 2.98-3.26
Mg 0.6949 0.0000 0.3051  8 Mg 3.02-3.26
Mg 0.3560 0.3560 0.8395  8 Mg 2.98-3.26
Mg 0.0000 0.6949 0.3051  8 Mg 3.02-3.26
Mg 0.3051 0.0000 0.6949  8 Mg 3.02-3.26
Pm 0.0962 0.0962 0.0962  1 Pm 2.94, 3 Mg 3.22
Mg 0.1605 0.6440 0.6440  8 Mg 2.98-3.26
Mg 0.8395 0.3560 0.3560  8 Mg 2.98-3.26
Mg 0.6440 0.1605 0.6440  8 Mg 2.98-3.26
Mg 0.0000 0.5000 0.0000  8 Mg 3.02-3.10, 2 Pm 3.22
Mg 0.5000 0.0000 0.0000  8 Mg 3.02-3.10, 2 Pm 3.22
Mg 0.6440 0.6440 0.1605  8 Mg 2.98-3.26

Calculated formation energy (meV/atom): 35
Fermi-level density of states (states/eV per cell): 15.23
VASP energy (eV per atom): -2.2083
M_tot (μB/atom): 0.0000

Entry 9:
The following is a DFT calculation (PBE-GGA) of a geometry-optimized ErCuPdPt structure.

Cell lengths 3.9124, 4.1943, 4.0907 Å; angles 90.00, 90.00, 90.00 degrees
Closest atoms and distances in Å follow each position.
Fractional coordinates of all 4 atoms:
Er 0.5000 0.0000 0.5000  4 Pt 2.83, 4 Pd 2.87, 4 Cu 2.93
Pd 0.0000 0.5000 0.5000  4 Cu 2.83, 4 Er 2.87, 4 Pt 2.93
Pt 0.0000 0.0000 0.0000  4 Er 2.83, 4 Cu 2.87, 4 Pd 2.93
Cu 0.5000 0.5000 0.0000  4 Pd 2.83, 4 Pt 2.87, 4 Er 2.93

Calculated formation energy (meV/atom): -800
Fermi-level density of states (states/eV per cell): 0.88
Relative energy among the computed polymorphs (eV per atom): 0.000
VASP energy (eV per atom): -5.7730
M_tot (μB/atom): 0.0000

Entry 10:
The following is a DFT calculation (PBE-GGA) of a geometry-optimized Tb5Y3Bi8 structure.

Cell lengths 8.9811, 8.9811, 8.9794 Å; angles 59.99, 59.99, 60.00 degrees
Closest atoms and distances in Å follow each position.
Fractional coordinates of all 16 atoms:
Tb 0.0000 0.5000 0.0000  6 Bi 3.18
Y 0.0000 0.5000 0.5000  6 Bi 3.17
Bi 0.7501 0.7501 0.7496  3 Y 3.17, 3 Tb 3.18
Y 0.5000 0.0000 0.5000  6 Bi 3.17
Tb 0.5000 0.5000 0.5000  6 Bi 3.18
Bi 0.2499 0.2499 0.2504  3 Y 3.17, 3 Tb 3.18
Bi 0.2496 0.7500 0.2504  2 Y 3.17, 4 Tb 3.17-3.18
Tb 0.5000 0.0000 0.0000  6 Bi 3.18
Bi 0.7500 0.7500 0.2504  2 Y 3.17, 4 Tb 3.17-3.18
Tb 0.0000 0.0000 0.0000  6 Bi 3.17
Tb 0.5000 0.5000 0.0000  6 Bi 3.18
Bi 0.2500 0.7504 0.7496  2 Y 3.17, 4 Tb 3.17-3.18
Y 0.0000 0.0000 0.5000  6 Bi 3.17
Bi 0.7504 0.2500 0.7496  2 Y 3.17, 4 Tb 3.17-3.18
Bi 0.7500 0.2496 0.2504  2 Y 3.17, 4 Tb 3.17-3.18
Bi 0.2500 0.2500 0.7496  2 Y 3.17, 4 Tb 3.17-3.18

Calculated formation energy (meV/atom): -886
Fermi-level density of states (states/eV per cell): 2.99
VASP energy (eV per atom): -5.4853
M_tot (μB/atom): 0.0000

Please write out number 1 again, unchanged.
The following is a DFT calculation (PBE-GGA) of a geometry-optimized MgGeAs3 structure.

Cell lengths 4.9613, 4.9613, 4.9613 Å; angles 90.00, 90.00, 90.00 degrees
Closest atoms and distances in Å follow each position.
Fractional coordinates of all 5 atoms:
As 0.5000 0.0000 0.0000  2 Mg 2.48
Ge 0.5000 0.5000 0.5000  12 As 3.51
As 0.0000 0.0000 0.5000  2 Mg 2.48
Mg 0.0000 0.0000 0.0000  6 As 2.48
As 0.0000 0.5000 0.0000  2 Mg 2.48

Calculated formation energy (meV/atom): 744
Fermi-level density of states (states/eV per cell): 3.81
Relative energy among the computed polymorphs (eV per atom): 0.150
VASP energy (eV per atom): -3.2879
M_tot (μB/atom): 0.0000

What did the tenth record say?
The following is a DFT calculation (PBE-GGA) of a geometry-optimized Tb5Y3Bi8 structure.

Cell lengths 8.9811, 8.9811, 8.9794 Å; angles 59.99, 59.99, 60.00 degrees
Closest atoms and distances in Å follow each position.
Fractional coordinates of all 16 atoms:
Tb 0.0000 0.5000 0.0000  6 Bi 3.18
Y 0.0000 0.5000 0.5000  6 Bi 3.17
Bi 0.7501 0.7501 0.7496  3 Y 3.17, 3 Tb 3.18
Y 0.5000 0.0000 0.5000  6 Bi 3.17
Tb 0.5000 0.5000 0.5000  6 Bi 3.18
Bi 0.2499 0.2499 0.2504  3 Y 3.17, 3 Tb 3.18
Bi 0.2496 0.7500 0.2504  2 Y 3.17, 4 Tb 3.17-3.18
Tb 0.5000 0.0000 0.0000  6 Bi 3.18
Bi 0.7500 0.7500 0.2504  2 Y 3.17, 4 Tb 3.17-3.18
Tb 0.0000 0.0000 0.0000  6 Bi 3.17
Tb 0.5000 0.5000 0.0000  6 Bi 3.18
Bi 0.2500 0.7504 0.7496  2 Y 3.17, 4 Tb 3.17-3.18
Y 0.0000 0.0000 0.5000  6 Bi 3.17
Bi 0.7504 0.2500 0.7496  2 Y 3.17, 4 Tb 3.17-3.18
Bi 0.7500 0.2496 0.2504  2 Y 3.17, 4 Tb 3.17-3.18
Bi 0.2500 0.2500 0.7496  2 Y 3.17, 4 Tb 3.17-3.18

Calculated formation energy (meV/atom): -886
Fermi-level density of states (states/eV per cell): 2.99
VASP energy (eV per atom): -5.4853
M_tot (μB/atom): 0.0000

Which value of VASP energy does entry 7 give? -4.4170 eV per atom

What is the M_tot in the fourth record? 0.0000 μB/atom